The following is a DFT calculation (PBE-GGA) of a relaxed structure of CsTlCu2Cl8.

Properties
DFT total energy, eV/cell: -105.9

Lattice parameters (Å, degrees): 6.5612 6.5612 28.7029 90.00 90.00 120.00
Space group R-3 (No. 148, hexagonal axes)
Asymmetric unit:
Cs (0.0000, 0.0000, 0.0000) (multiplicity 3)
Tl (0.0000, 0.0000, 0.5000) (multiplicity 3)
Cu (0.0000, 0.0000, 0.2409) (multiplicity 6)
Cl (0.0000, 0.0000, 0.3175) (multiplicity 6)
Cl (0.0011, 0.6703, 0.5544) (multiplicity 18)